Record 1
Ac2H3Pd12Pt | GGA-PBE | optimized geometry

POSCAR file:
```
Ac2H3Pd12Pt
1.0
-3.891 -5.614 -3.323
3.078 -6.765 -1.566
-1.973 -6.357 3.660
Pd Ac H Pt
12 2 3 1
direct
0.143 0.143 0.549
0.274 0.897 0.274
0.726 0.726 0.103
0.857 0.857 0.451
0.549 0.143 0.143
0.274 0.274 0.897
0.857 0.451 0.857
0.726 0.103 0.726
0.897 0.274 0.274
0.103 0.726 0.726
0.451 0.857 0.857
0.143 0.549 0.143
0.599 0.599 0.599
0.401 0.401 0.401
0.000 0.500 0.000
0.500 0.000 0.000
0.000 0.000 0.500
0.000 0.000 0.000
```

Computed properties:
Its space-group type is No. 166.

=====

Record 2
AcH8Pd2Pt | GGA-PBE | optimized geometry

POSCAR file:
```
AcH8Pd2Pt
1.0
-0.478 -2.929 -3.854
-2.935 -3.872 0.237
-5.660 1.042 -3.160
Pt H Pd Ac
1 8 2 1
direct
0.000 0.000 0.000
0.660 0.254 0.159
0.819 0.819 0.542
0.254 0.927 0.159
0.746 0.073 0.841
0.340 0.746 0.841
0.927 0.660 0.159
0.181 0.181 0.458
0.073 0.340 0.841
0.725 0.725 0.824
0.275 0.275 0.176
0.500 0.500 0.500
```

Computed properties:
Its space-group type is No. 148.

=====

Record 3
Ac2H6PdPt2 | GGA-PBE | optimized geometry

POSCAR file:
```
Ac2H6PdPt2
1.0
4.755 0.000 0.000
-2.377 5.753 -0.490
0.000 -3.885 5.812
Ac Pt H Pd
2 2 6 1
direct
0.711 0.421 0.209
0.289 0.579 0.791
0.978 0.956 0.765
0.022 0.044 0.235
0.798 0.596 0.655
0.180 0.826 0.228
0.647 0.826 0.228
0.202 0.404 0.345
0.820 0.174 0.772
0.353 0.174 0.772
0.500 0.000 0.500
```

Computed properties:
Its space-group type is No. 12.

=====

Record 4
AcH6PdPt2 | GGA-PBE | optimized geometry

POSCAR file:
```
AcH6PdPt2
1.0
5.113 0.118 0.074
-2.436 4.510 -0.674
-2.560 -2.139 5.112
H Ac Pt Pd
6 1 2 1
direct
0.944 0.928 0.615
0.538 0.043 0.613
0.776 0.098 0.081
0.661 0.574 0.801
0.514 0.453 0.139
0.171 0.764 0.130
0.087 0.501 0.621
0.502 0.744 0.364
0.710 0.349 0.962
0.062 0.023 0.976
```

Computed properties:
Its space-group type is No. 1.

=====

Number 1: E -91.490 eV for the cell shown. Number 2: E -50.383 eV for the cell shown. Number 3: E -51.448 eV for the cell shown. Number 4: E -44.997 eV for the cell shown.